1.
An optimized crystal structure of TbNpU2N4. Source: the Alexandria database, functional PBE-GGA.

As for the crystal system: monoclinic. Its uncorrected energy is -84.21 eV per cell. The calculation puts the size of the total moment at 5.8 Bohr magnetons per cell.

It has space group P2/m (No. 10), with a = 5.970 Å, b = 3.447 Å, c = 6.016 Å, α = 90.00°, β = 109.56° and γ = 90.00°. The inequivalent atoms are Tb at (0.000, 0.000, 0.000), Np at (0.000, 0.500, 0.500), U at (0.500, 0.000, 0.500), U at (0.500, 0.500, 0.000), N at (0.260, 0.000, 0.755) and N at (0.265, 0.500, 0.255).

2.
An optimized crystal structure of TbNp2UN4. Source: the Alexandria database, functional PBE-GGA.

As for the crystal system: monoclinic. Its uncorrected energy is -85.43 eV per cell. The calculation puts the size of the total moment at 7.9 Bohr magnetons per cell.

It has space group P2/m (No. 10), with a = 5.985 Å, b = 3.452 Å, c = 5.995 Å, α = 90.00°, β = 109.43° and γ = 90.00°. The inequivalent atoms are Tb at (0.000, 0.000, 0.000), Np at (0.500, 0.000, 0.500), Np at (0.500, 0.500, 0.000), U at (0.000, 0.500, 0.500), N at (0.244, 0.000, 0.742) and N at (0.253, 0.500, 0.261).